[1]
! LuThRh2, relaxed, DFT PBE-GGA; values from VASP
&SYSTEM
  ibrav = 0, nat = 4, ntyp = 3
/
ATOMIC_SPECIES
Lu 174.97 Lu.upf
Th 232.04 Th.upf
Rh 102.91 Rh.upf
ATOMIC_POSITIONS crystal
Lu 0.0000 0.0000 0.0000
Th 0.5000 0.5000 0.0000
Rh 0.0000 0.5000 0.5000
Rh 0.5000 0.0000 0.5000
CELL_PARAMETERS angstrom
4.9023 0.0000 0.0000
0.0000 4.9023 0.0000
0.0000 0.0000 3.4900
! M_tot ... 0.00 Bohr magnetons per cell
! Energy relative to the elements ... -0.8691 eV per atom
! V ... 20.97 Å³/atom



[2]
! LuThRh2, relaxed, DFT PBE-GGA; values from VASP
&SYSTEM
  ibrav = 0, nat = 4, ntyp = 3
/
ATOMIC_SPECIES
Lu 174.97 Lu.upf
Th 232.04 Th.upf
Rh 102.91 Rh.upf
ATOMIC_POSITIONS crystal
Lu 0.0000 0.0000 0.0000
Th 0.5000 0.5000 0.5000
Rh 0.2528 0.2528 0.2528
Rh 0.7472 0.7472 0.7472
CELL_PARAMETERS angstrom
2.0263 1.1699 6.3661
-2.0263 1.1699 6.3661
0.0000 -2.3398 6.3661
! M_tot ... 0.00 Bohr magnetons per cell
! Energy relative to the elements ... -0.8104 eV per atom
! V ... 22.64 Å³/atom



[3]
! LuThRh, relaxed, DFT PBE-GGA; values from VASP
&SYSTEM
  ibrav = 0, nat = 3, ntyp = 3
/
ATOMIC_SPECIES
Lu 174.97 Lu.upf
Th 232.04 Th.upf
Rh 102.91 Rh.upf
ATOMIC_POSITIONS crystal
Lu 0.0000 0.0000 0.0000
Th 0.5000 0.5000 0.5000
Rh 0.7500 0.7500 0.7500
CELL_PARAMETERS angstrom
0.0000 3.4382 3.4382
3.4382 0.0000 3.4382
3.4382 3.4382 0.0000
! Distance to the lowest polymorph of the same formula ... 4 kJ/mol of formula units
! M_tot ... 0.00 Bohr magnetons per cell
! Energy relative to the elements ... -0.5004 eV per atom
! V ... 27.10 Å³/atom



[4]
! LuThTlRh, relaxed, DFT PBE-GGA; values from VASP
&SYSTEM
  ibrav = 0, nat = 4, ntyp = 4
/
ATOMIC_SPECIES
Lu 174.97 Lu.upf
Th 232.04 Th.upf
Tl 204.38 Tl.upf
Rh 102.91 Rh.upf
ATOMIC_POSITIONS crystal
Lu 0.0000 0.0000 0.0000
Th 0.5000 0.5000 0.5000
Tl 0.7500 0.7500 0.7500
Rh 0.2500 0.2500 0.2500
CELL_PARAMETERS angstrom
0.0000 3.6638 3.6638
3.6638 0.0000 3.6638
3.6638 3.6638 0.0000
! M_tot ... 0.00 Bohr magnetons per cell
! Energy relative to the elements ... -0.3581 eV per atom
! V ... 24.59 Å³/atom



[5]
! LuThZnRh, relaxed, DFT PBE-GGA; values from VASP
&SYSTEM
  ibrav = 0, nat = 4, ntyp = 4
/
ATOMIC_SPECIES
Lu 174.97 Lu.upf
Th 232.04 Th.upf
Zn 65.41 Zn.upf
Rh 102.91 Rh.upf
ATOMIC_POSITIONS crystal
Lu 0.0000 0.0000 0.0000
Th 0.5000 0.5000 0.5000
Zn 0.7500 0.7500 0.7500
Rh 0.2500 0.2500 0.2500
CELL_PARAMETERS angstrom
0.0000 3.5353 3.5353
3.5353 0.0000 3.5353
3.5353 3.5353 0.0000
! M_tot ... 0.00 Bohr magnetons per cell
! Energy relative to the elements ... -0.5272 eV per atom
! V ... 22.09 Å³/atom



[6]
! Lu2TiRh, relaxed, DFT PBE-GGA; values from VASP
&SYSTEM
  ibrav = 0, nat = 4, ntyp = 3
/
ATOMIC_SPECIES
Lu 174.97 Lu.upf
Ti 47.87 Ti.upf
Rh 102.91 Rh.upf
ATOMIC_POSITIONS crystal
Lu 0.0000 0.0000 0.2221
Lu 0.0000 0.0000 0.7779
Ti 0.5000 0.5000 0.5000
Rh 0.5000 0.5000 0.0000
CELL_PARAMETERS angstrom
3.3653 0.0000 0.0000
0.0000 3.3653 0.0000
0.0000 0.0000 7.3915
! M_tot ... 0.00 Bohr magnetons per cell
! Energy relative to the elements ... -0.3608 eV per atom
! V ... 20.93 Å³/atom



[7]
! LuTiRh, relaxed, DFT PBE-GGA; values from VASP
&SYSTEM
  ibrav = 0, nat = 3, ntyp = 3
/
ATOMIC_SPECIES
Lu 174.97 Lu.upf
Ti 47.87 Ti.upf
Rh 102.91 Rh.upf
ATOMIC_POSITIONS crystal
Lu 0.0000 0.0000 0.0000
Ti 0.6646 0.6646 0.0000
Rh 0.8192 0.8192 0.0000
CELL_PARAMETERS angstrom
-1.4713 1.4713 7.1909
1.4713 -1.4713 7.1909
1.4713 1.4713 -7.1909
! M_tot ... 0.00 Bohr magnetons per cell
! Energy relative to the elements ... 0.3406 eV per atom
! V ... 20.76 Å³/atom



[8]
! LuTlRh4, relaxed, DFT PBE-GGA; values from VASP
&SYSTEM
  ibrav = 0, nat = 6, ntyp = 3
/
ATOMIC_SPECIES
Lu 174.97 Lu.upf
Tl 204.38 Tl.upf
Rh 102.91 Rh.upf
ATOMIC_POSITIONS crystal
Lu 0.0000 0.0000 0.0000
Tl 0.7500 0.7500 0.7500
Rh 0.3753 0.3753 0.3753
Rh 0.3753 0.3753 0.8740
Rh 0.3753 0.8740 0.3753
Rh 0.8740 0.3753 0.3753
CELL_PARAMETERS angstrom
0.0000 3.7332 3.7332
3.7332 0.0000 3.7332
3.7332 3.7332 0.0000
! M_tot ... 0.00 Bohr magnetons per cell
! Energy relative to the elements ... -0.3602 eV per atom
! V ... 17.34 Å³/atom